The following is a DFT calculation (PBE) of crystalline Tb3TmAl2 at its relaxed geometry.

Computed properties:
VASP energy: -0.33804 Ry per atom
Total magnetic moment: 0.0 μB/cell
ΔH_f (0 K): -0.291 eV/atom
Calculated density: 7.4 g/cm3
Space group: No. 26

abc: 5.100 6.538 9.472
angles: 90.00 90.00 90.00
Sites, in units of the cell vectors:
Tb 0.000 0.473 0.961
Tb 0.000 0.973 0.039
Tb 0.500 0.689 0.179
Tb 0.500 0.189 0.821
Tb 0.000 0.311 0.327
Tb 0.000 0.811 0.673
Tm 0.500 0.526 0.541
Tm 0.500 0.026 0.459
Al 0.500 0.707 0.852
Al 0.500 0.207 0.148
Al 0.000 0.294 0.647
Al 0.000 0.794 0.353